# 1
A plane-wave DFT calculation with GGA-PBE was carried out for an optimized crystal structure of KRe2Cl.

Cell: 3.1068 3.1068 8.6737 Å, 90.00 90.00 90.00°
Closest atoms and distances in Å follow each position.
Space group P4mm (No. 99)
Unique sites:
K  0.0000  0.0000  0.0000 (multiplicity 1)  4 Cl 2.99, 4 K 3.11
Re  0.0000  0.0000  0.4989 (multiplicity 1)  4 Re 2.54
Re  0.5000  0.5000  0.3511 (multiplicity 1)  4 Re 2.54
Cl  0.5000  0.5000  0.7661 (multiplicity 1)  4 K 2.99, 4 Cl 3.11, 4 Re 3.19

Calculated values
The value obtained for the final energy is -26.8 eV per cell. Its formation energy (no corrections) is 0.259 eV/atom.


# 2
A plane-wave DFT calculation with GGA-PBE was carried out for an optimized crystal structure of KRe2Cl.

Cell: 6.5880 6.5880 6.5880 Å, 90.00 90.00 90.00°
Closest atoms and distances in Å follow each position.
Space group F-43m (No. 216)
Unique sites:
K  0.0000  0.0000  0.0000 (multiplicity 4)  4 Cl 2.85, 4 Re 2.85
Re  0.0000  0.0000  0.5000 (multiplicity 4)  4 Re 2.85, 4 Cl 2.85
Re  0.2500  0.2500  0.2500 (multiplicity 4)  4 K 2.85, 4 Re 2.85
Cl  0.2500  0.2500  0.7500 (multiplicity 4)  4 Re 2.85, 4 K 2.85

Calculated values
The value obtained for the final energy is -88.1 eV per cell. Its formation energy (no corrections) is 1.456 eV/atom.